Record 1
# Ce4Dy3Ru4

An optimized crystal structure of Ce4Dy3Ru4 (PBE, Alexandria via LeMat-Bulk).

Geometry as POSCAR:
```
Ce4Dy3Ru4
1.0
-1.002 -3.300 -1.125
7.371 -3.834 4.679
-7.388 2.801 4.217
Ce Dy Ru
4 3 4
Cartesian
-4.279 0.238 3.116
0.361 -3.063 2.817
3.259 -4.571 4.656
-1.381 -1.269 4.955
-0.950 -0.173 1.354
-0.070 -4.160 6.418
3.685 -1.917 2.340
1.906 -2.241 4.877
-2.926 -2.091 2.895
5.305 -4.670 3.124
1.063 -2.464 0.431
```

Results
For the total magnetization, the calculation gives 0.00 μB per formula unit. The formation energy is -0.31 eV per atom. For the volume, the calculation gives 23.1 Å³/atom.



Record 2
# CeDy2Ru

An optimized crystal structure of CeDy2Ru (PBE, Alexandria via LeMat-Bulk).

Geometry as POSCAR:
```
CeDy2Ru
1.0
-3.336 3.350 4.221
-5.540 -4.340 -0.934
3.232 -5.637 7.030
Ce Dy Ru
4 8 4
Cartesian
-4.409 -1.633 3.977
-2.321 1.222 5.306
-1.235 -4.994 6.340
-3.323 -7.849 5.011
-4.088 -2.720 0.547
-0.656 -2.100 4.288
-2.751 -1.822 7.170
-3.793 -6.613 8.629
-1.556 -3.908 9.770
-4.988 -4.528 6.029
-2.893 -4.805 3.147
-1.851 -0.015 1.688
-1.260 -2.941 1.480
-5.598 -3.536 2.998
-4.384 -3.687 8.837
-0.045 -3.092 7.319
```

Results
For the total magnetization, the calculation gives 0.44 μB per formula unit. The formation energy is -0.32 eV per atom. For the volume, the calculation gives 26.9 Å³/atom.



Record 3
# CeDyRu

An optimized crystal structure of CeDyRu (PBE, Alexandria via LeMat-Bulk).

Geometry as POSCAR:
```
CeDyRu
1.0
7.153 0.000 0.000
0.000 6.145 2.780
0.000 0.137 7.221
Ce Dy Ru
4 4 4
Cartesian
4.862 4.850 2.457
2.290 1.431 7.544
1.286 1.363 3.933
5.867 4.919 6.068
1.274 4.480 8.683
2.302 4.412 5.072
5.878 1.801 1.318
4.851 1.869 4.929
4.049 3.716 7.235
3.103 2.565 2.766
6.680 3.647 3.625
0.473 2.634 6.376
```

Results
For the total magnetization, the calculation gives 0.48 μB per formula unit. The formation energy is -0.19 eV per atom. For the volume, the calculation gives 26.2 Å³/atom.



Record 4
# Ce2DyU2Ru5

An optimized crystal structure of Ce2DyU2Ru5 (PBE, Alexandria via LeMat-Bulk).

Geometry as POSCAR:
```
Ce2DyU2Ru5
1.0
3.672 0.000 0.000
0.000 10.522 0.000
0.000 0.000 10.522
Ce Dy U Ru
4 2 4 10
Cartesian
0.000 7.139 1.878
0.000 3.383 8.644
0.000 1.878 3.383
0.000 8.644 7.139
0.000 0.000 0.000
0.000 5.261 5.261
0.000 1.456 6.717
0.000 9.066 3.805
0.000 6.717 9.066
0.000 3.805 1.456
1.836 2.205 0.576
1.836 8.317 9.946
1.836 0.576 8.317
1.836 7.466 4.685
1.836 9.946 2.205
1.836 3.056 5.837
1.836 5.837 7.466
1.836 4.685 3.056
1.836 5.261 0.000
1.836 0.000 5.261
```

Results
For the total magnetization, the calculation gives 1.48 μB per formula unit. The formation energy is -0.24 eV per atom. For the volume, the calculation gives 20.3 Å³/atom.



Record 5
# CeDyZnRu

An optimized crystal structure of CeDyZnRu (PBE, Alexandria via LeMat-Bulk).

Geometry as POSCAR:
```
CeDyZnRu
1.0
4.952 0.000 0.000
2.476 4.288 0.000
2.476 1.429 4.043
Ru Zn Ce Dy
1 1 1 1
Cartesian
2.476 1.429 1.011
7.427 4.288 3.032
0.000 0.000 0.000
4.952 2.859 2.021
```

Results
For the total magnetization, the calculation gives 0.01 μB per formula unit. The formation energy is -0.30 eV per atom. For the volume, the calculation gives 21.5 Å³/atom.



Record 6
# CeDyS2

An optimized crystal structure of CeDyS2 (PBE, Alexandria via LeMat-Bulk).

Geometry as POSCAR:
```
CeDyS2
1.0
-0.804 0.904 -3.649
0.406 -3.684 1.023
-6.976 -0.367 1.446
Ce Dy S
1 1 2
Cartesian
-3.285 -2.025 1.234
0.203 -1.842 0.512
-5.543 -2.748 -0.473
-1.831 -0.398 -0.708
```

Results
The raw formation energy comes out at -1.867 eV/atom. For the total magnetization, the calculation gives 1.32 μB per formula unit. For the volume, the calculation gives 22.8 Å³/atom.